1.
A plane-wave DFT calculation with PBEsol was carried out for a relaxed structure of LaAl2Cu.

Unit cell a=2.865 b=5.664 c=5.664 alpha=118.37 beta=90.00 gamma=90.00
Positions (direct):
1 Al 0.000 0.000 0.500
2 Cu 0.500 0.000 0.000
3 La 0.500 0.500 0.500
4 Al 0.000 0.500 0.000

## Properties
SG: No. 65
E_form: 0.64 eV/f.u.
Size of the total moment: 0.032 μB per atom

=====

2.
A plane-wave DFT calculation with PBEsol was carried out for a relaxed structure of LaAlCu.

Unit cell a=3.714 b=4.495 c=4.495 alpha=120.00 beta=90.00 gamma=90.00
Positions (direct):
1 Al 0.000 0.000 0.000
2 Cu 0.000 0.333 0.667
3 La 0.500 0.667 0.333

## Properties
SG: No. 187
E_form: -0.82 eV/f.u.
Size of the total moment: 0.000 μB per atom

=====

3.
A plane-wave DFT calculation with PBEsol was carried out for a relaxed structure of La2AlCu.

Unit cell a=3.660 b=5.219 c=5.219 alpha=90.00 beta=90.00 gamma=90.00
Positions (direct):
1 Al 0.500 0.500 0.500
2 Cu 0.500 0.000 0.000
3 La 0.000 0.000 0.500
4 La 0.000 0.500 0.000

## Properties
SG: No. 123
E_form: -0.62 eV/f.u.
Size of the total moment: 0.000 μB per atom

=====

4.
A plane-wave DFT calculation with PBEsol was carried out for a relaxed structure of La3AlCu.

Unit cell a=5.658 b=5.658 c=5.658 alpha=90.00 beta=90.00 gamma=90.00
Positions (direct):
1 Al 0.000 0.000 0.000
2 La 0.500 0.000 0.000
3 La 0.000 0.000 0.500
4 Cu 0.500 0.500 0.500
5 La 0.000 0.500 0.000

## Properties
SG: No. 221
E_form: 3.38 eV/f.u.
Size of the total moment: 0.170 μB per atom

=====

5.
A plane-wave DFT calculation with PBEsol was carried out for a relaxed structure of La2AlCu.

Unit cell a=3.632 b=4.739 c=5.481 alpha=90.00 beta=89.88 gamma=90.00
Positions (direct):
1 La 0.877 0.500 0.317
2 Cu 0.374 0.500 0.760
3 La 0.874 0.000 0.942
4 Al 0.376 0.000 0.480

## Properties
SG: No. 6
E_form: -0.81 eV/f.u.
Size of the total moment: 0.000 μB per atom

=====

6.
A plane-wave DFT calculation with PBEsol was carried out for a relaxed structure of LaAl2Cu.

Unit cell a=4.239 b=4.239 c=5.898 alpha=68.94 beta=68.94 gamma=60.00
Positions (direct):
1 Al 0.226 0.226 0.321
2 Al 0.959 0.959 0.123
3 La 0.753 0.753 0.741
4 Cu 0.560 0.560 0.321

## Properties
SG: No. 160
E_form: -1.32 eV/f.u.
Size of the total moment: 0.000 μB per atom

=====

7.
A plane-wave DFT calculation with PBEsol was carried out for a relaxed structure of SrLaAlCuO5.

Unit cell a=5.396 b=7.924 c=10.957 alpha=90.00 beta=90.00 gamma=90.00
Positions (direct):
1 O 0.750 0.381 0.479
2 Cu 0.250 0.023 0.126
3 La 0.750 0.190 0.634
4 O 0.250 0.619 0.521
5 O 0.750 0.619 0.979
6 O 0.500 0.032 0.250
7 O 0.000 0.000 0.500
8 Sr 0.250 0.260 0.404
9 O 0.500 0.567 0.750
10 Al 0.750 0.505 0.843
11 O 0.500 0.000 0.000
12 O 0.250 0.381 0.021
13 O 0.000 0.433 0.250
14 O 0.000 0.032 0.250
15 O 0.250 0.282 0.646
16 Sr 0.750 0.260 0.096
17 Cu 0.750 0.023 0.374
18 O 0.500 0.968 0.750
19 Al 0.250 0.505 0.657
20 Sr 0.250 0.740 0.904
21 O 0.500 0.433 0.250
22 Cu 0.250 0.977 0.626
23 O 0.000 0.000 0.000
24 Sr 0.750 0.740 0.596
25 Al 0.250 0.495 0.157
26 Cu 0.750 0.977 0.874
27 Al 0.750 0.495 0.343
28 O 0.750 0.282 0.854
29 La 0.250 0.190 0.866
30 La 0.250 0.810 0.366
31 O 0.500 0.000 0.500
32 O 0.750 0.718 0.354
33 La 0.750 0.810 0.134
34 O 0.250 0.718 0.146
35 O 0.000 0.567 0.750
36 O 0.000 0.968 0.750

## Properties
SG: No. 57
E_form (uncorrected): -2606 meV/atom
Size of the total moment: 0.000 μB per atom

=====

8.
A plane-wave DFT calculation with PBEsol was carried out for a relaxed structure of LiAlCu2.

Unit cell a=3.624 b=3.624 c=4.518 alpha=113.64 beta=113.64 gamma=90.00
Positions (direct):
1 Cu 0.000 0.000 0.000
2 Cu 0.750 0.250 0.500
3 Li 0.500 0.500 0.000
4 Al 0.250 0.750 0.500

## Properties
SG: No. 119
E_form: -0.67 eV/f.u.
Size of the total moment: 0.000 μB per atom

=====

9.
A plane-wave DFT calculation with PBEsol was carried out for a relaxed structure of LiAlCu2.

Unit cell a=2.832 b=4.167 c=4.168 alpha=90.00 beta=90.00 gamma=90.00
Positions (direct):
1 Li 0.500 0.000 0.625
2 Al 0.500 0.500 0.125
3 Cu 0.000 0.000 0.124
4 Cu 0.000 0.500 0.626

## Properties
SG: No. 123
E_form: -0.74 eV/f.u.
Size of the total moment: 0.000 μB per atom

=====

10.
A plane-wave DFT calculation with PBEsol was carried out for a relaxed structure of Li2AlCu.

Unit cell a=2.598 b=4.001 c=5.484 alpha=90.00 beta=104.37 gamma=90.00
Positions (direct):
1 Li 0.989 0.000 0.998
2 Cu 0.180 0.500 0.730
3 Li 0.806 0.500 0.244
4 Al 0.525 0.000 0.528

## Properties
SG: No. 6
E_form: -0.43 eV/f.u.
Size of the total moment: 0.000 μB per atom

=====

11.
A plane-wave DFT calculation with PBEsol was carried out for a relaxed structure of Li2AlCu.

Unit cell a=2.664 b=4.505 c=4.585 alpha=90.00 beta=97.52 gamma=90.00
Positions (direct):
1 Al 0.500 0.500 0.000
2 Li 0.785 0.000 0.743
3 Li 0.215 0.000 0.257
4 Cu 0.000 0.500 0.500

## Properties
SG: No. 10
E_form: -0.36 eV/f.u.
Size of the total moment: 0.000 μB per atom

=====

12.
A plane-wave DFT calculation with PBEsol was carried out for a relaxed structure of LiAl2Cu2.

Unit cell a=2.678 b=7.191 c=7.191 alpha=90.00 beta=90.00 gamma=90.00
Positions (direct):
1 Al 0.500 0.831 0.331
2 Al 0.500 0.169 0.669
3 Li 0.000 0.000 0.000
4 Al 0.500 0.331 0.169
5 Cu 0.000 0.373 0.873
6 Cu 0.000 0.127 0.373
7 Cu 0.000 0.873 0.627
8 Cu 0.000 0.627 0.127
9 Al 0.500 0.669 0.831
10 Li 0.000 0.500 0.500

## Properties
SG: No. 127
E_form: -1.09 eV/f.u.
Size of the total moment: 0.000 μB per atom

=====

13.
A plane-wave DFT calculation with PBEsol was carried out for a relaxed structure of LiAlCu.

Unit cell a=3.040 b=3.040 c=4.719 alpha=108.79 beta=108.79 gamma=90.00
Positions (direct):
1 Li 0.325 0.325 0.651
2 Al 0.007 0.007 0.014
3 Cu 0.668 0.668 0.336

## Properties
SG: No. 107
E_form: -0.47 eV/f.u.
Size of the total moment: 0.000 μB per atom

=====

14.
A plane-wave DFT calculation with PBEsol was carried out for a relaxed structure of LiAl2Cu.

Unit cell a=3.792 b=3.790 c=4.699 alpha=113.79 beta=113.80 gamma=90.00
Positions (direct):
1 Li 0.750 0.250 0.500
2 Cu 0.500 0.500 0.000
3 Al 0.250 0.750 0.500
4 Al 0.000 0.000 0.000

## Properties
SG: No. 119
E_form: -0.51 eV/f.u.
Size of the total moment: 0.000 μB per atom

=====

15.
A plane-wave DFT calculation with PBEsol was carried out for a relaxed structure of Li2AlCu.

Unit cell a=2.850 b=4.624 c=4.655 alpha=106.52 beta=107.82 gamma=90.00
Positions (direct):
1 Li 0.747 0.213 0.494
2 Al 0.514 0.562 0.028
3 Li 0.985 0.030 0.970
4 Cu 0.254 0.696 0.508

## Properties
SG: No. 8
E_form: -0.44 eV/f.u.
Size of the total moment: 0.000 μB per atom

=====

16.
A plane-wave DFT calculation with PBEsol was carried out for a relaxed structure of LiAlCu2.

Unit cell a=2.802 b=4.206 c=4.743 alpha=109.59 beta=107.18 gamma=90.00
Positions (direct):
1 Al 0.264 0.792 0.528
2 Cu 0.739 0.273 0.477
3 Li 0.490 0.462 0.981
4 Cu 0.007 0.972 0.014

## Properties
SG: No. 8
E_form: -0.65 eV/f.u.
Size of the total moment: 0.000 μB per atom

=====

17.
A plane-wave DFT calculation with PBEsol was carried out for a relaxed structure of LiAl2Cu.

Unit cell a=5.103 b=5.754 c=5.754 alpha=78.66 beta=63.68 gamma=63.68
Positions (direct):
1 Li 0.500 0.000 0.000
2 Al 0.070 0.555 0.055
3 Li 0.250 0.500 0.500
4 Al 0.375 0.945 0.555
5 Al 0.875 0.055 0.445
6 Cu 0.000 0.000 0.000
7 Al 0.680 0.445 0.945
8 Cu 0.750 0.500 0.500

## Properties
SG: No. 122
E_form: 0.65 eV/f.u.
Size of the total moment: 0.000 μB per atom

=====

18.
A plane-wave DFT calculation with PBEsol was carried out for a relaxed structure of LiAl2Cu.

Unit cell a=2.736 b=4.727 c=5.331 alpha=116.32 beta=104.87 gamma=90.00
Positions (direct):
1 Cu 0.000 0.500 0.000
2 Li 0.500 0.000 0.000
3 Al 0.276 0.276 0.551
4 Al 0.724 0.724 0.449

## Properties
SG: No. 71
E_form: -0.32 eV/f.u.
Size of the total moment: 0.000 μB per atom

=====

19.
A plane-wave DFT calculation with PBEsol was carried out for a relaxed structure of Li2AlCu.

Unit cell a=3.575 b=3.575 c=4.320 alpha=90.00 beta=90.00 gamma=90.00
Positions (direct):
1 Li 0.500 0.000 0.000
2 Al 0.500 0.500 0.500
3 Li 0.000 0.500 0.000
4 Cu 0.000 0.000 0.500

## Properties
SG: No. 123
E_form: -0.39 eV/f.u.
Size of the total moment: 0.000 μB per atom

=====

20.
A plane-wave DFT calculation with PBEsol was carried out for a relaxed structure of LiAlCu2.

Unit cell a=4.097 b=4.097 c=4.097 alpha=60.00 beta=60.00 gamma=60.00
Positions (direct):
1 Al 0.500 0.500 0.500
2 Cu 0.000 0.000 0.000
3 Li 0.750 0.750 0.750
4 Cu 0.250 0.250 0.250

## Properties
SG: No. 216
E_form: -0.68 eV/f.u.
Size of the total moment: 0.000 μB per atom

=====

21.
A plane-wave DFT calculation with PBEsol was carried out for a relaxed structure of LiAlCu.

Unit cell a=2.936 b=3.074 c=4.804 alpha=108.66 beta=107.80 gamma=90.00
Positions (direct):
1 Li 0.324 0.324 0.648
2 Cu 0.668 0.668 0.335
3 Al 0.008 0.008 0.017

## Properties
SG: No. 44
E_form: -0.47 eV/f.u.
Size of the total moment: 0.000 μB per atom

=====

22.
A plane-wave DFT calculation with PBEsol was carried out for a relaxed structure of Li2AlCu.

Unit cell a=2.645 b=3.764 c=5.685 alpha=90.00 beta=90.00 gamma=90.00
Positions (direct):
1 Li 0.000 0.000 0.987
2 Al 0.000 0.000 0.530
3 Li 0.500 0.500 0.254
4 Cu 0.500 0.500 0.729

## Properties
SG: No. 25
E_form: -0.42 eV/f.u.
Size of the total moment: 0.000 μB per atom

=====

23.
A plane-wave DFT calculation with PBEsol was carried out for a relaxed structure of LiAl2Cu.

Unit cell a=2.730 b=4.325 c=4.670 alpha=90.00 beta=90.01 gamma=90.00
Positions (direct):
1 Li 0.375 0.500 0.794
2 Al 0.875 0.500 0.303
3 Cu 0.375 0.000 0.460
4 Al 0.875 0.000 0.943

## Properties
SG: No. 25
E_form: -0.51 eV/f.u.
Size of the total moment: 0.000 μB per atom

=====

24.
A plane-wave DFT calculation with PBEsol was carried out for a relaxed structure of Li2AlCu.

Unit cell a=3.586 b=3.586 c=4.988 alpha=111.06 beta=111.06 gamma=90.00
Positions (direct):
1 Li 0.750 0.250 0.500
2 Al 0.500 0.500 0.000
3 Cu 0.000 0.000 0.000
4 Li 0.250 0.750 0.500

## Properties
SG: No. 139
E_form: -0.39 eV/f.u.
Size of the total moment: 0.000 μB per atom

=====

25.
A plane-wave DFT calculation with PBEsol was carried out for a relaxed structure of LiAlCu4.

Unit cell a=4.777 b=4.777 c=4.777 alpha=60.00 beta=60.00 gamma=60.00
Positions (direct):
1 Cu 0.375 0.875 0.375
2 Al 0.000 0.000 0.000
3 Cu 0.875 0.375 0.375
4 Cu 0.375 0.375 0.875
5 Li 0.750 0.750 0.750
6 Cu 0.375 0.375 0.375

## Properties
SG: No. 216
E_form: -0.50 eV/f.u.
Size of the total moment: 0.000 μB per atom

=====

26.
A plane-wave DFT calculation with PBEsol was carried out for a relaxed structure of Li2AlCu.

Unit cell a=2.882 b=4.200 c=5.161 alpha=114.21 beta=106.21 gamma=90.00
Positions (direct):
1 Al 0.000 0.500 0.000
2 Li 0.766 0.766 0.532
3 Li 0.234 0.234 0.468
4 Cu 0.500 0.000 0.000

## Properties
SG: No. 12
E_form: -0.52 eV/f.u.
Size of the total moment: 0.000 μB per atom

=====

27.
A plane-wave DFT calculation with PBEsol was carried out for a relaxed structure of LiAl2Cu.

Unit cell a=2.740 b=4.545 c=4.867 alpha=100.15 beta=90.00 gamma=107.54
Positions (direct):
1 Al 0.237 0.475 0.238
2 Al 0.763 0.525 0.762
3 Cu 0.500 0.000 0.000
4 Li 0.000 0.000 0.500

## Properties
SG: No. 12
E_form: -0.41 eV/f.u.
Size of the total moment: 0.000 μB per atom

=====

28.
A plane-wave DFT calculation with PBEsol was carried out for a relaxed structure of LiAlCu2.

Unit cell a=2.858 b=4.127 c=4.919 alpha=114.81 beta=106.89 gamma=90.00
Positions (direct):
1 Cu 0.005 0.005 0.011
2 Cu 0.739 0.239 0.478
3 Li 0.491 0.491 0.983
4 Al 0.264 0.764 0.529

## Properties
SG: No. 44
E_form: -0.64 eV/f.u.
Size of the total moment: 0.000 μB per atom